5
Lattice="-4.9913 -0.5502 2.0849 -0.8679 -4.2998 -3.2127 1.9739 -3.2820 3.8594" Properties=species:S:1:pos:R:3 comment="TaTe3H PBE-GGA relaxed" e_above_lowest_polymorph_mev_per_atom=699 space_group="Pm-3m (221)" magmom_total_mub_per_fu=0.99 n_ef_per_ev_cell=2.73 pbc="T T T"
H -1.9427 -4.0660 1.3658
Te -0.4340 -2.1499 -1.6063
Te 0.9869 -1.6410 1.9297
Te -2.4957 -0.2751 1.0424
Ta 0.0000 0.0000 0.0000

---

4
Lattice="-2.1866 1.3640 -2.7731 -2.0335 -2.3679 -2.1425 -5.6045 0.5626 4.6907" Properties=species:S:1:pos:R:3 comment="BaFe2Cl PBE-GGA relaxed" e_above_lowest_polymorph_mev_per_atom=98 formation_energy_uncorrected_ev_per_atom=0.074 space_group="P3m1 (156)" magmom_total_mub_per_fu=0.23 n_ef_per_ev_cell=2.66 pbc="T T T"
Cl -1.7535 -0.0023 0.4121
Ba -4.9089 -0.1618 0.2350
Fe -5.6319 0.3870 3.6582
Fe -8.0471 -0.3222 0.0480

---

4
Lattice="4.1919 -2.2773 2.2359 2.9660 2.7109 3.4075 -0.0873 -1.2248 5.1234" Properties=species:S:1:pos:R:3 comment="CuPbBr2 PBE-GGA relaxed" e_above_lowest_polymorph_mev_per_atom=299 formation_energy_uncorrected_ev_per_atom=-0.027 space_group="Fm-3m (225)" magmom_total_mub_per_fu=0.00 n_ef_per_ev_cell=1.91 pbc="T T T"
Pb 3.5353 -0.3956 5.3834
Cu 0.0000 0.0000 0.0000
Br 1.7677 -0.1978 2.6917
Br 5.3030 -0.5934 8.0751

---

8
Lattice="4.6684 0.0000 0.0000 0.0001 8.8735 -0.4182 0.0000 2.8921 7.6488" Properties=species:S:1:pos:R:3 comment="Ba4HgPtBr2 PBE-GGA relaxed" formation_energy_uncorrected_ev_per_atom=-1.150 space_group="P2/m (10)" magmom_total_mub_per_fu=0.00 n_ef_per_ev_cell=4.12 pbc="T T T"
Ba 0.0001 8.5960 5.6267
Ba 4.6684 3.1696 1.6039
Ba 2.3343 7.1091 1.5285
Ba 2.3342 4.6565 5.7021
Hg 0.0001 5.8828 3.6153
Pt 2.3342 4.4368 -0.2091
Br 0.0000 2.8921 7.6488
Br 2.3342 1.4461 3.8244

---

5
Lattice="5.5822 0.0000 0.0000 0.0000 5.5822 0.0000 0.0000 0.0000 5.6083" Properties=species:S:1:pos:R:3 comment="CaReSbTe2 PBE-GGA relaxed" e_above_lowest_polymorph_mev_per_atom=1532 formation_energy_uncorrected_ev_per_atom=1.730 space_group="P4/mmm (123)" magmom_total_mub_per_fu=0.16 n_ef_per_ev_cell=7.22 pbc="T T T"
Re 2.7911 2.7911 2.8041
Ca 0.0000 0.0000 0.0000
Te 0.0000 2.7911 0.0000
Te 2.7911 0.0000 0.0000
Sb 0.0000 0.0000 2.8041

---

4
Lattice="-3.0278 -0.0008 -3.9786 -4.9264 -0.5987 0.6077 -3.1007 3.8432 -0.7826" Properties=species:S:1:pos:R:3 comment="NaNdBiRh PBE-GGA relaxed" space_group="F-43m (216)" magmom_total_mub_per_fu=0.00 n_ef_per_ev_cell=0.36 final_energy_ev_per_atom=-4.79 pbc="T T T"
Rh -2.7637 0.8109 -1.0384
Nd -5.5274 1.6218 -2.0767
Bi 0.0000 0.0000 0.0000
Na -8.2911 2.4328 -3.1151

---

6
Lattice="2.5981 0.0000 0.0000 1.2990 6.6758 0.0000 0.0000 0.0000 4.0571" Properties=species:S:1:pos:R:3 comment="Fe2Ru PBE-GGA relaxed" space_group="Cmcm (63)" magmom_total_mub_per_fu=0.58 n_ef_per_ev_cell=7.42 final_energy_ev_per_atom=-8.63 pbc="T T T"
Fe 2.5981 0.0083 0.0000
Fe 1.2990 3.6983 2.0286
Fe 1.2990 2.2357 0.0000
Fe 2.5981 5.9257 2.0286
Ru 2.5981 4.4482 0.0000
Ru 2.5981 1.4858 2.0286

---

5
Lattice="5.9890 0.0000 0.0000 0.0000 5.9890 0.0000 0.0000 0.0000 6.1792" Properties=species:S:1:pos:R:3 comment="RbRePCl2 PBE-GGA relaxed" e_above_lowest_polymorph_mev_per_atom=1758 formation_energy_uncorrected_ev_per_atom=1.429 space_group="P4/mmm (123)" magmom_total_mub_per_fu=3.04 pbc="T T T"
Re 2.9945 2.9945 3.0896
P 0.0000 0.0000 3.0896
Rb 0.0000 0.0000 0.0000
Cl 0.0000 2.9945 0.0000
Cl 2.9945 0.0000 0.0000

---

11
Lattice="6.5355 -0.0026 -0.9110 0.0028 6.6988 0.0031 -1.3164 -0.0021 6.4660" Properties=species:S:1:pos:R:3 comment="Er7Ni2Ge2 PBE-GGA relaxed" space_group="Cmmm (65)" magmom_total_mub_per_fu=0.00 n_ef_per_ev_cell=9.33 final_energy_ev_per_atom=-5.10 pbc="T T T"
Er 5.8762 1.7071 2.3251
Er 1.9559 4.9845 6.0112
Er -0.6543 4.9869 3.2330
Er 3.2660 1.7095 -0.4531
Er 0.0000 0.0000 0.0000
Er 2.6135 5.0605 2.7782
Er 2.6084 1.6335 2.7799
Ni 4.2464 6.6962 1.2454
Ni 0.9755 -0.0021 4.3127
Ge 4.3239 3.3454 4.6022
Ge 0.8980 3.3486 0.9559

---

4
Lattice="-1.6839 -3.9587 -0.1511 2.9792 -1.1572 -2.8835 3.6018 -1.7002 4.4036" Properties=species:S:1:pos:R:3 comment="LaPSe2 PBE-GGA relaxed" formation_energy_uncorrected_ev_per_atom=-0.739 space_group="P4mm (99)" magmom_total_mub_per_fu=0.00 n_ef_per_ev_cell=2.40 pbc="T T T"
La 2.1106 -0.9963 2.5805
P 2.8031 -3.5754 1.1180
Se 0.3697 -0.1745 0.4520
Se 1.4146 -2.9200 -0.5796

---

5
Lattice="-0.5019 2.8134 -3.4924 -2.5452 -3.0721 -2.1091 -3.6924 1.7352 1.9285" Properties=species:S:1:pos:R:3 comment="LiTi3Pb PBE-GGA relaxed" e_above_lowest_polymorph_mev_per_atom=0 space_group="Pm-3m (221)" magmom_total_mub_per_fu=0.00 n_ef_per_ev_cell=6.61 pbc="T T T"
Pb -3.3697 0.7382 -1.8365
Li 0.0000 0.0000 0.0000
Ti -1.2726 -1.5360 -1.0545
Ti -1.8462 0.8676 0.9642
Ti -0.2509 1.4067 -1.7462

---

20
Lattice="-0.2850 -6.9652 5.3339 0.6551 -2.7127 -8.3221 6.9616 4.9497 2.0206" Properties=species:S:1:pos:R:3 comment="LiPm12Tl4O3 PBE-GGA relaxed" formation_energy_uncorrected_ev_per_atom=-0.891 space_group="Im-3m (229)" magmom_total_mub_per_fu=0.00 n_ef_per_ev_cell=15.60 pbc="T T T"
Li 0.0000 0.0000 0.0000
Pm 5.4775 0.6146 -1.3121
Pm 4.9090 -1.4819 5.4074
Pm 1.7676 -0.5336 1.9471
Pm 1.8542 -5.3428 0.3445
Pm 0.2721 -7.1157 -2.1971
Pm 0.0980 -2.5622 -0.7911
Pm 3.4308 -3.4272 2.9302
Pm 3.9009 -1.3010 -3.8978
Pm 5.2424 -0.4485 2.1019
Pm 5.6002 1.6447 -4.6332
Pm 2.0892 -4.2797 -3.0695
Pm 2.0165 0.5922 -1.6683
Tl 3.6658 -2.3641 -0.4838
Tl 3.4808 2.4748 1.0103
Tl -0.1425 -3.4826 2.6670
Tl 0.3276 -1.3563 -4.1611
O 3.3383 -1.0078 3.6772
O 0.1850 -4.8389 -1.4941
O 3.8083 1.1185 -3.1508

---

80
Lattice="-3.5038 -8.8579 4.0902 10.3445 0.2444 0.6325 -3.9719 8.0265 5.2218" Properties=species:S:1:pos:R:3 comment="Gd3H12Pt5 PBE-GGA relaxed" space_group="Ia-3d (230)" magmom_total_mub_per_fu=21.29 n_ef_per_ev_cell=39.76 final_energy_ev_per_atom=-5.95 pbc="T T T"
Gd 0.7549 -5.5484 3.9576
Gd 4.1961 -6.5640 4.7061
Gd 3.9620 1.8782 5.2718
Gd -1.0724 0.8260 3.0598
Gd -2.7657 -5.7135 4.9635
Gd 4.1584 -1.1623 3.2346
Gd -1.2896 0.5754 6.7099
Gd 5.6345 5.1265 4.9811
Gd 3.9412 -1.4129 6.8847
Gd -1.0932 -2.4651 4.6727
Gd -1.3273 5.9771 5.2385
Gd 2.1139 4.9615 5.9869
Pt 2.4482 0.9911 2.0539
Pt 5.1722 0.1222 0.3162
Pt 0.0000 0.0000 0.0000
Pt 0.7757 -2.2573 2.3447
Pt -3.7378 -0.4157 4.6560
Pt 3.4204 -4.3067 2.3614
Pt 5.8309 2.0860 2.9438
Pt -4.8102 0.4104 7.7158
Pt 2.3480 -3.4807 5.4212
Pt -2.9998 2.7287 5.5292
Pt 5.8686 -3.3157 4.4153
Pt 1.4344 -0.2935 4.9723
Pt -1.7519 -4.4289 2.0451
Pt -1.9860 4.0133 2.6109
Pt 0.5208 2.8938 4.5234
Pt 7.6790 -0.9973 2.2287
Pt 3.1863 4.1355 2.9271
Pt -2.9621 -2.6730 7.0007
Pt 2.0931 1.6704 7.5998
Pt 0.4206 -1.5780 7.8906
H -1.3722 -5.9747 2.9287
H 2.5312 0.5205 3.7685
H -0.6146 -6.1552 5.9342
H -0.2691 -3.6407 2.7482
H 2.3753 0.4346 6.3503
H 1.9722 -7.2053 5.3446
H 5.6219 0.6810 4.0164
H 8.7471 0.2293 1.5056
H 5.4711 0.4132 6.5860
H 2.9221 -4.5247 4.0988
H 0.6427 -3.9049 5.7043
H 6.4496 -6.9907 3.9960
H 4.7129 3.3435 3.5243
H 2.4874 -2.7443 2.3095
H 7.5130 2.6671 2.9803
H -2.7443 1.0945 4.8717
H 0.7930 0.8085 1.4255
H 4.9097 -3.4208 2.9194
H 5.3579 -4.5567 5.5845
H 3.5797 -0.0674 1.1777
H 5.6196 3.2612 6.4926
H 2.5105 -1.7618 4.9884
H 3.3168 -3.7313 6.8932
H -3.1451 0.2372 8.3204
H 0.3583 1.1749 4.9562
H -0.4480 3.1444 3.0513
H 6.0139 -0.8241 1.6241
H -2.4891 3.9698 4.3600
H -2.7508 -3.8481 3.4519
H -0.7109 -0.5195 8.7669
H -2.0409 2.8339 7.0251
H 5.6131 -1.6814 5.0728
H 2.0758 -1.3954 8.5191
H -4.6442 -3.2540 6.9643
H -1.8441 -3.9304 6.4202
H -3.5808 6.4038 5.9486
H 0.3814 2.1574 7.6350
H -2.6023 -1.0001 3.3586
H -0.0533 3.9378 5.8458
H 2.2261 3.3180 4.2402
H -5.8783 -0.8163 8.4389
H -2.7531 -1.2679 5.9282
H 3.1379 3.0538 7.1963
H 0.8966 6.6183 4.5999
H 0.4935 -1.0215 3.5942
H 3.4834 5.5682 4.0103
H 0.3376 -1.1074 6.1760
H 4.2410 5.3878 7.0159

---

4
Lattice="-2.7816 0.1048 0.4972 -0.1069 -1.8276 -2.1550 0.6827 -6.0467 5.0942" Properties=species:S:1:pos:R:3 comment="Ta2FeRh PBE-GGA relaxed" space_group="Cmm2 (35)" magmom_total_mub_per_fu=2.84 n_ef_per_ev_cell=3.83 final_energy_ev_per_atom=-9.96 pbc="T T T"
Fe 0.3526 -3.1232 2.6313
Rh -0.9458 -5.2760 2.8904
Ta 0.6711 -5.9440 5.0078
Ta -1.2597 -2.4962 0.5484

---

4
Lattice="3.3093 0.0000 0.0000 0.0000 3.3093 0.0000 0.0000 0.0000 6.4380" Properties=species:S:1:pos:R:3 comment="LiPuPt2 PBE-GGA relaxed" space_group="P4/mmm (123)" magmom_total_mub_per_fu=4.76 n_ef_per_ev_cell=10.47 final_energy_ev_per_atom=-7.73 pbc="T T T"
Li 1.6546 1.6546 0.0000
Pt 0.0000 0.0000 5.0371
Pt 0.0000 0.0000 1.4009
Pu 1.6546 1.6546 3.2190